[1]
A relaxed structure of Sc2Si2GeIr5, computed with PBE.

Cell and atoms, written as POSCAR:
```
Sc2Si2GeIr5
1.0
9.3813 0.0000 0.0000
0.0000 9.3813 0.0000
0.0000 0.0000 3.5165
Sc Si Ge Ir
4 4 2 10
Cartesian
1.6243 3.0664 0.0000
3.0664 7.7571 0.0000
6.3150 1.6243 0.0000
7.7571 6.3150 0.0000
1.1844 5.8751 0.0000
3.5063 1.1844 0.0000
5.8751 8.1970 0.0000
8.1970 3.5063 0.0000
0.0000 0.0000 0.0000
4.6907 4.6907 0.0000
0.0000 4.6907 1.7582
0.6568 7.4423 1.7582
1.9390 0.6568 1.7582
2.7517 5.3475 1.7582
4.0339 2.7517 1.7582
4.6907 0.0000 1.7582
5.3475 6.6297 1.7582
6.6297 4.0339 1.7582
7.4423 8.7245 1.7582
8.7245 1.9390 1.7582
```

Uncorrected energy in eV per cell: -161.2
Magnetization in μB/cell: 0.00

[2]
A relaxed structure of ScGeTeIr2, computed with PBE.

Cell and atoms, written as POSCAR:
```
ScGeTeIr2
1.0
4.7894 0.0000 0.0000
0.0000 4.7894 0.0000
0.0000 0.0000 4.9905
Sc Ge Te Ir
1 1 1 2
Cartesian
0.0000 0.0000 0.0000
0.0000 0.0000 2.4953
2.3947 2.3947 2.4953
0.0000 2.3947 0.0000
2.3947 0.0000 0.0000
```

Uncorrected energy in eV per cell: -26.6
Magnetization in μB/cell: 0.00

[3]
A relaxed structure of Th2ScGe4Ir3, computed with PBE.

Cell and atoms, written as POSCAR:
```
Th2ScGe4Ir3
1.0
4.2382 0.0000 0.0000
0.0000 4.2382 0.0000
0.0000 0.0000 10.9115
Th Sc Ge Ir
2 1 4 3
Cartesian
0.0000 2.1191 2.5802
2.1191 0.0000 8.3313
0.0000 0.0000 5.4558
0.0000 0.0000 0.0000
0.0000 2.1191 7.0947
2.1191 0.0000 3.8168
2.1191 2.1191 0.0000
0.0000 2.1191 9.5660
2.1191 0.0000 1.3456
2.1191 2.1191 5.4558
```

Formation energy from the elements in eV per formula unit: -8.06
Magnetization in μB/cell: 0.00

[4]
A relaxed structure of ScTi2GeIr, computed with PBE.

Cell and atoms, written as POSCAR:
```
ScTi2GeIr
1.0
4.7169 0.0000 0.0000
0.0000 4.7169 0.0000
0.0000 0.0000 5.0422
Sc Ti Ge Ir
1 2 1 1
Cartesian
0.0000 0.0000 0.0000
0.0000 2.3584 2.5211
2.3584 0.0000 2.5211
2.3584 2.3584 0.0000
0.0000 0.0000 2.5211
```

Formation energy from the elements in eV per formula unit: 0.38
Magnetization in μB/cell: 0.00

[5]
A relaxed structure of TmScGeIr, computed with PBE.

Cell and atoms, written as POSCAR:
```
TmScGeIr
1.0
0.0000 3.3827 3.3827
3.3827 0.0000 3.3827
3.3827 3.3827 0.0000
Tm Sc Ge Ir
1 1 1 1
Cartesian
0.0000 0.0000 0.0000
3.3827 3.3827 3.3827
1.6913 1.6913 1.6913
5.0740 5.0740 5.0740
```

Formation energy from the elements in eV per formula unit: -2.94
Magnetization in μB/cell: 0.00

[6]
A relaxed structure of YScGeIr, computed with PBE.

Cell and atoms, written as POSCAR:
```
YScGeIr
1.0
0.0000 3.4128 3.4128
3.4128 0.0000 3.4128
3.4128 3.4128 0.0000
Y Sc Ge Ir
1 1 1 1
Cartesian
0.0000 0.0000 0.0000
3.4128 3.4128 3.4128
5.1192 5.1192 5.1192
1.7064 1.7064 1.7064
```

Formation energy from the elements in eV per formula unit: -2.79
Magnetization in μB/cell: 0.00

[7]
A relaxed structure of Sc2ZnGe2Ir5, computed with PBE.

Cell and atoms, written as POSCAR:
```
Sc2ZnGe2Ir5
1.0
9.4603 0.0000 0.0000
0.0000 9.4603 0.0000
0.0000 0.0000 3.5742
Sc Zn Ge Ir
4 2 4 10
Cartesian
1.6173 3.1129 0.0000
3.1129 7.8430 0.0000
6.3474 1.6173 0.0000
7.8430 6.3474 0.0000
0.0000 0.0000 0.0000
4.7301 4.7301 0.0000
1.2288 5.9590 0.0000
3.5013 1.2288 0.0000
5.9590 8.2314 0.0000
8.2314 3.5013 0.0000
0.0000 4.7301 1.7871
0.6252 7.5483 1.7871
1.9119 0.6252 1.7871
2.8182 5.3554 1.7871
4.1049 2.8182 1.7871
4.7301 0.0000 1.7871
5.3554 6.6420 1.7871
6.6420 4.1049 1.7871
7.5483 8.8350 1.7871
8.8350 1.9119 1.7871
```

Formation energy from the elements in eV per formula unit: -5.72
Magnetization in μB/cell: 0.00

[8]
A relaxed structure of Sc2ZnGeIr, computed with PBE.

Cell and atoms, written as POSCAR:
```
Sc2ZnGeIr
1.0
4.8848 0.0000 0.0000
0.0000 4.8848 0.0000
0.0000 0.0000 4.5232
Sc Zn Ge Ir
2 1 1 1
Cartesian
0.0000 2.4424 0.0000
2.4424 0.0000 0.0000
0.0000 0.0000 0.0000
2.4424 2.4424 2.2616
0.0000 0.0000 2.2616
```

Formation energy from the elements in eV per formula unit: 1.39
Magnetization in μB/cell: 0.00

[9]
A relaxed structure of GeIrSe3, computed with PBE.

Cell and atoms, written as POSCAR:
```
GeIrSe3
1.0
4.8539 0.0000 0.0000
0.0000 4.8539 0.0000
0.0000 0.0000 4.8539
Ge Ir Se
1 1 3
Cartesian
0.0000 0.0000 0.0000
2.4270 2.4270 2.4270
0.0000 0.0000 2.4270
0.0000 2.4270 0.0000
2.4270 0.0000 0.0000
```

Uncorrected energy in eV per cell: -17.8
Magnetization in μB/cell: 1.94

[10]
A relaxed structure of Ge2IrSe, computed with PBE.

Cell and atoms, written as POSCAR:
```
Ge2IrSe
1.0
-2.9121 2.9121 5.6989
2.9121 -2.9121 5.6989
2.9121 2.9121 -5.6989
Ge Ir Se
4 2 2
Cartesian
4.3681 1.2160 -1.4247
1.2160 1.4560 1.4247
-1.4560 1.6961 4.2742
1.6961 1.4560 7.1236
0.0000 0.0000 0.0000
0.0000 2.9121 2.8495
2.9121 0.0000 2.8495
0.0000 0.0000 5.6989
```

Uncorrected energy in eV per cell: -42.9
Magnetization in μB/cell: 0.00

[11]
A relaxed structure of Ge2IrSe, computed with PBE.

Cell and atoms, written as POSCAR:
```
Ge2IrSe
1.0
5.6288 0.0000 0.0000
0.0000 5.4268 0.0000
-5.1152 0.0000 10.6021
Ge Ir Se
8 4 4
Cartesian
-2.2890 1.2438 4.9592
-4.8466 1.4696 10.2602
-2.7500 3.6203 9.8181
-0.1924 4.5200 4.5170
0.7060 0.9068 6.0850
3.2636 1.8066 0.7840
5.3602 3.9572 0.3418
2.8026 4.1830 5.6429
-0.8634 2.7558 6.2941
1.6942 5.3844 0.9930
-1.1806 0.0424 9.6090
1.3770 2.6710 4.3080
0.2178 1.0736 2.6960
-2.3398 1.6398 7.9970
2.8534 3.7870 2.6051
0.2958 4.3533 7.9061
```

Uncorrected energy in eV per cell: -87.2
Magnetization in μB/cell: 0.00

[12]
A relaxed structure of GeIrSe3, computed with PBE.

Cell and atoms, written as POSCAR:
```
GeIrSe3
1.0
4.9210 0.0000 0.0000
0.0000 4.9210 0.0000
0.0000 0.0000 4.9210
Ge Ir Se
1 1 3
Cartesian
0.0000 0.0000 0.0000
2.4605 2.4605 2.4605
0.0000 2.4605 2.4605
2.4605 0.0000 2.4605
2.4605 2.4605 0.0000
```

Uncorrected energy in eV per cell: -21.2
Magnetization in μB/cell: 0.00